An optimized crystal structure of BaMo2P4O16, computed with PBE with a Hubbard U.

## Properties
The calculation puts the density of states at the Fermi level at 0.00 states/eV per cell. For the calculated volume, the calculation gives 14.01 A^3/atom. Its calculated density is 3.66 Mg/m³. The total DFT energy (no corrections) comes out at -333.74 eV/cell. The total magnetization is 4.0 μB per cell.

Cell: 6.5503 12.5959 9.3551 Å, 90.00 123.42 90.00°
Closest atoms and distances in Å follow each position.
Fractional positions:
Ba1 0.0000 0.0000 0.0000  4 O 2.67-2.79
Ba2 0.0000 0.5000 0.5000  4 O 2.67-2.79
Mo1 0.4582 0.1901 0.6605  1 O 1.70
Mo2 0.4582 0.3099 0.1605  1 O 1.70
Mo3 0.5418 0.6901 0.8395  1 O 1.70
Mo4 0.5418 0.8099 0.3395  1 O 1.70
P1 0.1285 0.6932 0.9389  4 O 1.53-1.60
P2 0.1285 0.8068 0.4389  4 O 1.53-1.60
P3 0.3466 0.5558 0.2504  4 O 1.48-1.62
P4 0.3466 0.9442 0.7504  4 O 1.48-1.62
P5 0.6534 0.0558 0.2496  4 O 1.48-1.62
P6 0.6534 0.4442 0.7496  4 O 1.48-1.62
P7 0.8715 0.1932 0.5611  4 O 1.53-1.60
P8 0.8715 0.3068 0.0611  4 O 1.53-1.60
O1 0.1483 0.2105 0.6602  1 P 1.53
O2 0.1483 0.2895 0.1602  1 P 1.53
O3 0.1844 0.5306 0.3105  1 P 1.48
O4 0.1844 0.5871 0.0495  2 P 1.60-1.62
O5 0.1844 0.9129 0.5495  2 P 1.60-1.62
O6 0.1844 0.9694 0.8105  1 P 1.48
O7 0.1969 0.6720 0.8084  1 P 1.54
O8 0.1969 0.8280 0.3084  1 P 1.54
O9 0.2748 0.7163 0.5628  1 P 1.53
O10 0.2748 0.7837 0.0628  1 P 1.53
O11 0.3180 0.1572 0.4504  1 Mo 1.70
O12 0.3180 0.3428 0.9504  1 Mo 1.70
O13 0.4631 0.1464 0.1531  1 P 1.56
O14 0.4631 0.3536 0.6531  1 P 1.56
O15 0.4941 0.5382 0.7439  1 P 1.56
O16 0.4941 0.9618 0.2439  1 P 1.56
O17 0.5059 0.0382 0.7561  1 P 1.56
O18 0.5059 0.4618 0.2561  1 P 1.56
O19 0.5369 0.6464 0.3469  1 P 1.56
O20 0.5369 0.8536 0.8469  1 P 1.56
O21 0.6820 0.6572 0.0496  1 Mo 1.70
O22 0.6820 0.8428 0.5496  1 Mo 1.70
O23 0.7252 0.2163 0.9372  1 P 1.53
O24 0.7252 0.2837 0.4372  1 P 1.53
O25 0.8031 0.1720 0.6916  1 P 1.54
O26 0.8031 0.3280 0.1916  1 P 1.54
O27 0.8156 0.0306 0.1895  1 P 1.48
O28 0.8156 0.0871 0.4505  2 P 1.60-1.62
O29 0.8156 0.4129 0.9505  2 P 1.60-1.62
O30 0.8156 0.4694 0.6895  1 P 1.48
O31 0.8517 0.7105 0.8398  1 P 1.53
O32 0.8517 0.7895 0.3398  1 P 1.53